[1]
! SnSb2ICl PBE relaxed; values from VASP
&SYSTEM
  ibrav = 0, nat = 5, ntyp = 4
/
ATOMIC_SPECIES
Sn 118.71 Sn.upf
Cl 35.45 Cl.upf
Sb 121.76 Sb.upf
I 126.90 I.upf
ATOMIC_POSITIONS crystal
Sn 0.500 0.500 0.500
Cl 0.000 0.000 0.000
Sb 0.500 0.000 0.000
I 0.000 0.000 0.500
Sb 0.000 0.500 0.000
CELL_PARAMETERS angstrom
5.152 0.000 0.000
0.000 5.152 0.000
0.000 0.000 6.734
! Uncorrected formation energy: 0.527 eV per atom
! Polymorph energy (0 for the lowest one): 0.0206 eV/atom
! Energy: -13.009 eV/f.u.

[2]
! SnSb2ICl PBE relaxed; values from VASP
&SYSTEM
  ibrav = 0, nat = 5, ntyp = 4
/
ATOMIC_SPECIES
I 126.90 I.upf
Sn 118.71 Sn.upf
Sb 121.76 Sb.upf
Cl 35.45 Cl.upf
ATOMIC_POSITIONS crystal
I 0.000 0.000 0.500
Sn 0.000 0.000 0.000
Sb 0.000 0.500 0.000
Sb 0.500 0.000 0.000
Cl 0.500 0.500 0.500
CELL_PARAMETERS angstrom
5.798 0.000 0.000
0.000 5.798 0.000
0.000 0.000 5.866
! Uncorrected formation energy: 0.506 eV per atom
! Polymorph energy (0 for the lowest one): 0.0000 eV/atom
! Energy: -13.112 eV/f.u.

[3]
! SrSbI2Cl PBE relaxed; values from VASP
&SYSTEM
  ibrav = 0, nat = 5, ntyp = 4
/
ATOMIC_SPECIES
Cl 35.45 Cl.upf
I 126.90 I.upf
Sr 87.62 Sr.upf
Sb 121.76 Sb.upf
ATOMIC_POSITIONS crystal
Cl 0.000 0.000 0.000
I 0.500 0.000 0.000
I 0.000 0.500 0.000
Sr 0.500 0.500 0.500
Sb 0.000 0.000 0.500
CELL_PARAMETERS angstrom
-1.019 5.915 2.715
-5.774 -2.089 2.385
2.297 -1.538 4.214
! Uncorrected formation energy: -0.274 eV per atom
! Energy: -12.120 eV/f.u.

[4]
! SrSb2ICl PBE relaxed; values from VASP
&SYSTEM
  ibrav = 0, nat = 5, ntyp = 4
/
ATOMIC_SPECIES
Sr 87.62 Sr.upf
Cl 35.45 Cl.upf
I 126.90 I.upf
Sb 121.76 Sb.upf
ATOMIC_POSITIONS crystal
Sr 0.000 0.000 0.000
Cl 0.500 0.500 0.500
I 0.000 0.000 0.500
Sb 0.500 0.000 0.000
Sb 0.000 0.500 0.000
CELL_PARAMETERS angstrom
6.355 0.000 0.000
0.000 6.355 0.000
0.000 0.000 6.096
! Uncorrected formation energy: 0.310 eV per atom
! Polymorph energy (0 for the lowest one): 0.5055 eV/atom
! Energy: -11.773 eV/f.u.

[5]
! SrSb2ICl PBE relaxed; values from VASP
&SYSTEM
  ibrav = 0, nat = 5, ntyp = 4
/
ATOMIC_SPECIES
I 126.90 I.upf
Sr 87.62 Sr.upf
Sb 121.76 Sb.upf
Cl 35.45 Cl.upf
ATOMIC_POSITIONS crystal
I 0.000 0.000 0.500
Sr 0.500 0.500 0.500
Sb 0.500 0.000 0.000
Sb 0.000 0.500 0.000
Cl 0.000 0.000 0.000
CELL_PARAMETERS angstrom
5.185 0.000 0.000
0.000 5.185 0.000
0.000 0.000 6.859
! Uncorrected formation energy: -0.195 eV per atom
! Polymorph energy (0 for the lowest one): 0.0000 eV/atom
! Energy: -14.301 eV/f.u.

[6]
! TaSb2ICl PBE relaxed; values from VASP
&SYSTEM
  ibrav = 0, nat = 5, ntyp = 4
/
ATOMIC_SPECIES
I 126.90 I.upf
Cl 35.45 Cl.upf
Sb 121.76 Sb.upf
Ta 180.95 Ta.upf
ATOMIC_POSITIONS crystal
I 0.000 0.000 0.500
Cl 0.000 0.000 0.000
Sb 0.500 0.000 0.000
Ta 0.500 0.500 0.500
Sb 0.000 0.500 0.000
CELL_PARAMETERS angstrom
-3.947 -0.887 -3.003
-2.191 -2.669 3.668
-2.723 5.087 2.076
! Uncorrected formation energy: 1.388 eV per atom
! Polymorph energy (0 for the lowest one): 1.1772 eV/atom
! Energy: -16.556 eV/f.u.

[7]
! TaSb2ICl PBE relaxed; values from VASP
&SYSTEM
  ibrav = 0, nat = 5, ntyp = 4
/
ATOMIC_SPECIES
Ta 180.95 Ta.upf
Sb 121.76 Sb.upf
Cl 35.45 Cl.upf
I 126.90 I.upf
ATOMIC_POSITIONS crystal
Ta 0.000 0.000 0.000
Sb 0.500 0.000 0.000
Cl 0.500 0.500 0.500
Sb 0.000 0.500 0.000
I 0.000 0.000 0.500
CELL_PARAMETERS angstrom
-1.526 2.774 -4.351
-1.020 -4.610 -2.581
-5.123 0.094 1.857
! Uncorrected formation energy: 0.210 eV per atom
! Polymorph energy (0 for the lowest one): 0.0000 eV/atom
! Energy: -22.442 eV/f.u.

[8]
! TcSb2ICl PBE relaxed; values from VASP
&SYSTEM
  ibrav = 0, nat = 5, ntyp = 4
/
ATOMIC_SPECIES
Sb 121.76 Sb.upf
I 126.90 I.upf
Tc 98.00 Tc.upf
Cl 35.45 Cl.upf
ATOMIC_POSITIONS crystal
Sb 0.500 0.000 0.000
Sb 0.000 0.500 0.000
I 0.000 0.000 0.500
Tc 0.500 0.500 0.500
Cl 0.000 0.000 0.000
CELL_PARAMETERS angstrom
5.130 0.000 0.000
0.000 5.130 0.000
0.000 0.000 6.447
! Uncorrected formation energy: 1.340 eV per atom
! Polymorph energy (0 for the lowest one): 1.0421 eV/atom
! Energy: -15.308 eV/f.u.

[9]
! TcSbI2Cl PBE relaxed; values from VASP
&SYSTEM
  ibrav = 0, nat = 5, ntyp = 4
/
ATOMIC_SPECIES
I 126.90 I.upf
Cl 35.45 Cl.upf
Tc 98.00 Tc.upf
Sb 121.76 Sb.upf
ATOMIC_POSITIONS crystal
I 0.000 0.500 0.000
Cl 0.000 0.000 0.000
Tc 0.500 0.500 0.500
I 0.500 0.000 0.000
Sb 0.000 0.000 0.500
CELL_PARAMETERS angstrom
-2.413 -1.324 -4.782
-1.881 -4.677 2.244
-4.701 2.674 1.632
! Uncorrected formation energy: 1.338 eV per atom
! Polymorph energy (0 for the lowest one): 0.9904 eV/atom
! Energy: -12.746 eV/f.u.

[10]
! TcSbI2Cl PBE relaxed; values from VASP
&SYSTEM
  ibrav = 0, nat = 5, ntyp = 4
/
ATOMIC_SPECIES
Sb 121.76 Sb.upf
I 126.90 I.upf
Cl 35.45 Cl.upf
Tc 98.00 Tc.upf
ATOMIC_POSITIONS crystal
Sb 0.000 0.000 0.500
I 0.500 0.000 0.000
Cl 0.500 0.500 0.500
Tc 0.000 0.000 0.000
I 0.000 0.500 0.000
CELL_PARAMETERS angstrom
5.418 0.000 0.000
0.000 5.418 0.000
0.000 0.000 5.216
! Uncorrected formation energy: 0.348 eV per atom
! Polymorph energy (0 for the lowest one): 0.0000 eV/atom
! Energy: -17.698 eV/f.u.

[11]
! TcSb2ICl PBE relaxed; values from VASP
&SYSTEM
  ibrav = 0, nat = 5, ntyp = 4
/
ATOMIC_SPECIES
I 126.90 I.upf
Cl 35.45 Cl.upf
Tc 98.00 Tc.upf
Sb 121.76 Sb.upf
ATOMIC_POSITIONS crystal
I 0.000 0.000 0.500
Cl 0.500 0.500 0.500
Tc 0.000 0.000 0.000
Sb 0.000 0.500 0.000
Sb 0.500 0.000 0.000
CELL_PARAMETERS angstrom
5.134 0.000 0.000
0.000 5.134 0.000
0.000 0.000 5.568
! Uncorrected formation energy: 0.298 eV per atom
! Polymorph energy (0 for the lowest one): 0.0000 eV/atom
! Energy: -20.518 eV/f.u.

[12]
! TiSb2ICl PBE relaxed; values from VASP
&SYSTEM
  ibrav = 0, nat = 5, ntyp = 4
/
ATOMIC_SPECIES
Ti 47.87 Ti.upf
I 126.90 I.upf
Sb 121.76 Sb.upf
Cl 35.45 Cl.upf
ATOMIC_POSITIONS crystal
Ti 0.000 0.000 0.000
I 0.000 0.000 0.500
Sb 0.500 0.000 0.000
Cl 0.500 0.500 0.500
Sb 0.000 0.500 0.000
CELL_PARAMETERS angstrom
5.318 0.000 0.000
0.000 5.318 0.000
0.000 0.000 5.308
! Uncorrected formation energy: -0.042 eV per atom
! Polymorph energy (0 for the lowest one): 0.0000 eV/atom
! Energy: -19.748 eV/f.u.

Number 1: DOS(E_F) 4.22 states/eV/f.u.. Number 2: DOS(E_F) 5.50 states/eV/f.u.. Number 3: DOS(E_F) 3.84 states/eV/f.u.. Number 4: DOS(E_F) 7.84 states/eV/f.u.. Number 5: DOS(E_F) 5.19 states/eV/f.u.. Number 6: DOS(E_F) 5.97 states/eV/f.u.. Number 7: DOS(E_F) 4.82 states/eV/f.u.. Number 8: DOS(E_F) 3.69 states/eV/f.u.. Number 9: DOS(E_F) 2.56 states/eV/f.u.. Number 10: DOS(E_F) 6.65 states/eV/f.u.. Number 11: DOS(E_F) 7.08 states/eV/f.u.. Number 12: DOS(E_F) 4.10 states/eV/f.u..